No. 1
Here is crystalline Tm12Au3O5 at its relaxed geometry from Alexandria via LeMat-Bulk. Energies are from PBE-GGA.

Cell and atoms, written as POSCAR:
```
Tm12Au3O5
1.0
13.074 0.000 0.000
-4.358 12.326 0.000
-4.358 -6.163 10.675
Au O Tm
12 20 48
Cartesian
9.805 0.000 2.669
-1.089 5.393 6.672
3.268 6.933 6.672
7.626 8.474 1.334
5.447 0.770 4.003
-3.268 -2.311 9.340
3.268 0.000 8.006
1.089 -0.770 4.003
-5.447 6.163 8.006
7.626 3.852 1.334
-3.268 2.311 9.340
1.089 6.163 2.669
3.268 9.245 2.669
5.447 5.393 4.003
-1.089 10.015 1.334
-2.179 6.163 0.000
6.537 0.000 0.000
1.089 -3.082 8.006
4.358 6.163 0.000
0.000 0.000 0.000
1.089 3.852 9.340
5.447 -3.852 9.340
-4.358 3.082 5.337
-3.268 6.933 4.003
5.447 3.082 8.006
3.268 2.311 1.334
-1.089 3.082 2.669
4.358 -3.082 5.337
-1.089 0.770 6.672
2.179 3.082 5.337
-2.179 -3.082 5.337
7.626 -0.770 6.672
2.096 8.460 4.307
9.886 2.951 3.173
8.203 0.677 5.173
5.797 6.128 2.000
6.620 3.581 4.142
9.456 6.198 2.000
0.083 3.866 4.307
4.870 5.104 8.510
-1.009 -3.212 7.502
-3.188 10.517 1.195
5.528 -1.142 6.307
-2.692 7.223 8.510
-0.513 1.060 2.165
-5.528 3.212 7.502
6.620 11.041 0.165
8.799 -2.582 6.532
2.919 4.414 0.970
-2.262 2.582 6.532
-2.262 -4.878 10.510
8.633 1.285 0.165
1.009 1.142 6.307
1.666 4.426 7.337
-1.170 7.305 4.368
2.262 -2.297 6.368
-1.009 4.354 9.480
-4.275 4.878 10.510
-3.845 5.486 5.502
2.919 7.877 1.030
5.098 -1.749 9.705
1.439 1.749 9.705
7.049 -1.060 2.165
-0.740 4.449 1.030
4.275 2.297 6.368
5.367 9.375 3.173
5.098 1.714 9.644
3.845 -1.737 3.338
-1.439 0.035 8.675
-0.740 7.912 0.970
6.024 6.840 5.502
-5.098 -0.035 8.675
7.546 -4.354 9.480
-4.441 8.745 4.142
5.367 1.809 1.195
2.692 1.737 3.338
0.513 7.900 7.337
1.439 -1.714 9.644
-1.666 -0.677 5.173
3.349 5.021 4.368
```

Output
DOS at the Fermi energy	17.15	states/eV/f.u.
formation energy without anion corrections	-1.680	eV/atom
space-group type	Ia-3d (230)
crystal system	cubic
size of the total moment	0.01	μB/cell
VASP energy	-6.09	eV per atom


No. 2
Here is crystalline Tm4Au2O at its relaxed geometry from Alexandria via LeMat-Bulk. Energies are from PBE-GGA.

Cell and atoms, written as POSCAR:
```
Tm4Au2O
1.0
4.577 0.000 0.000
0.000 4.577 0.000
-2.288 -2.288 7.342
Tm O Au
4 1 2
Cartesian
0.000 2.288 0.000
0.000 0.000 2.660
2.288 0.000 0.000
2.288 2.288 4.682
0.000 0.000 0.000
2.288 2.288 1.903
0.000 0.000 5.439
```

Output
DOS at the Fermi energy	8.57	states/eV/f.u.
formation energy without anion corrections	-1.334	eV/atom
space-group type	I4/mmm (139)
crystal system	tetragonal
size of the total moment	0.00	μB/cell
VASP energy	-5.53	eV per atom


No. 3
Here is crystalline YTmAu2O8 at its relaxed geometry from Alexandria via LeMat-Bulk. Energies are from PBE-GGA.

Cell and atoms, written as POSCAR:
```
YTmAu2O8
1.0
-0.776 -3.048 -4.252
1.873 -4.175 2.652
-5.411 2.500 2.485
Tm Au O Y
1 2 8 1
Cartesian
-2.819 -2.080 -1.283
0.549 -3.612 -0.800
-1.494 -2.643 2.168
-2.990 -1.145 2.914
-4.280 -0.518 -0.395
-3.914 0.917 1.604
-1.312 -3.663 -2.048
-0.927 -2.158 0.051
-0.047 -4.122 1.299
-3.354 -2.579 0.914
-0.429 -5.627 -0.801
0.000 0.000 0.000
```

Output
DOS at the Fermi energy	6.90	states/eV/f.u.
formation energy without anion corrections	-1.119	eV/atom
space-group type	I-4m2 (119)
crystal system	tetragonal
size of the total moment	0.00	μB/cell
VASP energy	-5.88	eV per atom


Please write out number 1 again, unchanged.
Here is crystalline Tm12Au3O5 at its relaxed geometry from Alexandria via LeMat-Bulk. Energies are from PBE-GGA.

Cell and atoms, written as POSCAR:
```
Tm12Au3O5
1.0
13.074 0.000 0.000
-4.358 12.326 0.000
-4.358 -6.163 10.675
Au O Tm
12 20 48
Cartesian
9.805 0.000 2.669
-1.089 5.393 6.672
3.268 6.933 6.672
7.626 8.474 1.334
5.447 0.770 4.003
-3.268 -2.311 9.340
3.268 0.000 8.006
1.089 -0.770 4.003
-5.447 6.163 8.006
7.626 3.852 1.334
-3.268 2.311 9.340
1.089 6.163 2.669
3.268 9.245 2.669
5.447 5.393 4.003
-1.089 10.015 1.334
-2.179 6.163 0.000
6.537 0.000 0.000
1.089 -3.082 8.006
4.358 6.163 0.000
0.000 0.000 0.000
1.089 3.852 9.340
5.447 -3.852 9.340
-4.358 3.082 5.337
-3.268 6.933 4.003
5.447 3.082 8.006
3.268 2.311 1.334
-1.089 3.082 2.669
4.358 -3.082 5.337
-1.089 0.770 6.672
2.179 3.082 5.337
-2.179 -3.082 5.337
7.626 -0.770 6.672
2.096 8.460 4.307
9.886 2.951 3.173
8.203 0.677 5.173
5.797 6.128 2.000
6.620 3.581 4.142
9.456 6.198 2.000
0.083 3.866 4.307
4.870 5.104 8.510
-1.009 -3.212 7.502
-3.188 10.517 1.195
5.528 -1.142 6.307
-2.692 7.223 8.510
-0.513 1.060 2.165
-5.528 3.212 7.502
6.620 11.041 0.165
8.799 -2.582 6.532
2.919 4.414 0.970
-2.262 2.582 6.532
-2.262 -4.878 10.510
8.633 1.285 0.165
1.009 1.142 6.307
1.666 4.426 7.337
-1.170 7.305 4.368
2.262 -2.297 6.368
-1.009 4.354 9.480
-4.275 4.878 10.510
-3.845 5.486 5.502
2.919 7.877 1.030
5.098 -1.749 9.705
1.439 1.749 9.705
7.049 -1.060 2.165
-0.740 4.449 1.030
4.275 2.297 6.368
5.367 9.375 3.173
5.098 1.714 9.644
3.845 -1.737 3.338
-1.439 0.035 8.675
-0.740 7.912 0.970
6.024 6.840 5.502
-5.098 -0.035 8.675
7.546 -4.354 9.480
-4.441 8.745 4.142
5.367 1.809 1.195
2.692 1.737 3.338
0.513 7.900 7.337
1.439 -1.714 9.644
-1.666 -0.677 5.173
3.349 5.021 4.368
```

Output
DOS at the Fermi energy	17.15	states/eV/f.u.
formation energy without anion corrections	-1.680	eV/atom
space-group type	Ia-3d (230)
crystal system	cubic
size of the total moment	0.01	μB/cell
VASP energy	-6.09	eV per atom